[1]
VASP calculation (PBE-GGA) on a relaxed structure of La2Sb2Pb.

The structure in extended XYZ format:
```
10
Lattice="-2.993 -3.363 -7.487 4.498 -7.338 1.498 -3.345 -1.628 2.069" Properties=species:S:1:pos:R:3 pbc="T T T"
Pb 0.753 -5.350 -2.994
La 0.350 -7.613 -5.425
Sb 0.821 -6.219 0.812
Pb 0.000 0.000 0.000
La 2.782 -7.456 -1.371
Sb -1.954 -3.140 -1.252
Sb -2.660 -6.110 -4.732
La -1.277 -3.245 -4.618
La 1.155 -3.088 -0.563
Sb 0.114 -9.189 -2.668
```

Results
For the magnetization, the calculation gives 0.0 μB per formula unit. For the uncorrected formation energy, the calculation gives -3.748 eV per formula unit. The final energy is -5.111 eV/atom. Its calculated volume is 32.5 A^3/atom.

***

[2]
VASP calculation (PBE-GGA) on a relaxed structure of Ba2In3Ga.

The structure in extended XYZ format:
```
6
Lattice="-3.133 -4.198 -0.262 3.055 -5.647 1.462 -3.038 -1.362 5.659" Properties=species:S:1:pos:R:3 pbc="T T T"
In -3.025 -7.864 4.678
In -2.188 -4.963 0.698
Ga -0.060 -3.360 2.063
In -0.944 -6.238 6.245
Ba 0.117 -6.812 2.759
Ba -3.251 -4.384 4.134
```

Results
For the magnetization, the calculation gives 0.0 μB per formula unit. The final energy is -2.979 eV/atom. For the formation energy, the calculation gives -464 meV per atom. Its calculated volume is 31.8 A^3/atom.

***

[3]
VASP calculation (PBE-GGA) on a relaxed structure of YHgW.

The structure in extended XYZ format:
```
3
Lattice="-1.761 -2.138 -1.660 -0.092 0.008 3.228 -5.586 4.736 -0.170" Properties=species:S:1:pos:R:3 pbc="T T T"
Hg -0.087 0.074 -0.003
W -2.503 0.865 1.542
Y -4.849 1.667 -0.142
```

Results
For the magnetization, the calculation gives 0.0 μB per formula unit. The final energy is -5.974 eV/atom. For the formation energy, the calculation gives 599 meV per atom. Its calculated volume is 22.1 A^3/atom.

***

[4]
VASP calculation (PBE-GGA) on a relaxed structure of ErZn8Fe4.

The structure in extended XYZ format:
```
13
Lattice="-0.730 -3.862 3.103 0.620 -5.848 -3.092 5.643 -1.998 2.882" Properties=species:S:1:pos:R:3 pbc="T T T"
Zn 2.316 -4.548 -1.075
Zn 3.902 -6.501 0.909
Zn 1.208 -2.827 0.806
Zn 1.385 -6.913 -0.196
Er 0.000 0.000 0.000
Zn 4.148 -4.795 3.089
Fe 2.822 -0.999 1.441
Zn 4.324 -8.880 2.087
Zn 1.631 -5.207 1.985
Zn 3.947 -3.298 0.865
Fe 0.310 -2.924 -1.546
Fe -0.055 -4.855 0.005
Fe 2.456 -2.930 2.993
```

Results
For the magnetization, the calculation gives 6.9 μB per formula unit. The final energy is -3.813 eV/atom. For the formation energy, the calculation gives -75 meV per atom. Its calculated volume is 14.6 A^3/atom.

***

[5]
VASP calculation (PBE-GGA) on a relaxed structure of ZrTa2Ni.

The structure in extended XYZ format:
```
4
Lattice="5.328 -0.013 0.000 2.414 4.750 0.000 -3.871 -2.368 2.792" Properties=species:S:1:pos:R:3 pbc="T T T"
Ta 3.871 2.368 0.000
Ni 2.664 -0.007 1.396
Ta 0.000 0.000 0.000
Zr 1.207 2.375 1.396
```

Results
For the magnetization, the calculation gives 0.0 μB per formula unit. The final energy is -9.458 eV/atom. For the formation energy, the calculation gives 51 meV per atom. Its calculated volume is 17.7 A^3/atom.

***

[6]
VASP calculation (PBE-GGA) on a relaxed structure of AgSbRh2.

The structure in extended XYZ format:
```
4
Lattice="0.000 3.226 3.226 3.226 0.000 3.226 3.226 3.226 0.000" Properties=species:S:1:pos:R:3 pbc="T T T"
Rh 0.000 0.000 0.000
Rh 4.839 4.839 4.839
Ag 3.226 3.226 3.226
Sb 1.613 1.613 1.613
```

Results
For the magnetization, the calculation gives 0.0 μB per formula unit. For the uncorrected formation energy, the calculation gives 0.390 eV per formula unit. The final energy is -5.322 eV/atom. Its calculated volume is 16.8 A^3/atom.

***

[7]
VASP calculation (PBE-GGA) on a relaxed structure of K2CuI2O.

The structure in extended XYZ format:
```
6
Lattice="-4.957 -1.877 1.267 2.262 -4.255 2.545 0.141 3.570 5.842" Properties=species:S:1:pos:R:3 pbc="T T T"
I -2.478 -0.938 0.633
I 1.131 -2.127 1.273
O 0.070 1.785 2.921
Cu 0.000 0.000 0.000
K 1.201 -0.342 4.194
K -2.408 0.847 3.554
```

Results
For the magnetization, the calculation gives 0.7 μB per formula unit. For the uncorrected formation energy, the calculation gives -3.144 eV per formula unit. The final energy is -2.916 eV/atom. Its calculated volume is 33.9 A^3/atom.

***

[8]
VASP calculation (PBE-GGA) on a relaxed structure of LiTb2CeTe4.

The structure in extended XYZ format:
```
8
Lattice="4.372 0.000 0.000 0.000 7.611 0.143 0.000 -2.654 7.166" Properties=species:S:1:pos:R:3 pbc="T T T"
Te 2.186 3.779 5.499
Tb 0.000 2.479 3.654
Te 0.000 -0.158 5.392
Ce 2.186 3.806 0.071
Li 0.000 0.000 0.000
Te 2.186 1.178 1.809
Tb 2.186 -1.327 3.583
Te 0.000 5.115 1.917
```

Results
For the magnetization, the calculation gives 1.3 μB per formula unit. For the uncorrected formation energy, the calculation gives -10.582 eV per formula unit. The final energy is -5.032 eV/atom. Its calculated volume is 30.0 A^3/atom.

***

[9]
VASP calculation (PBE-GGA) on a relaxed structure of Cu4BiSb.

The structure in extended XYZ format:
```
6
Lattice="5.233 0.000 0.000 2.616 4.532 0.000 2.616 1.511 4.273" Properties=species:S:1:pos:R:3 pbc="T T T"
Sb 2.616 1.511 1.068
Cu 5.233 3.021 0.537
Bi 0.000 0.000 0.000
Cu 5.233 1.513 2.669
Cu 6.538 3.775 2.669
Cu 3.927 3.775 2.669
```

Results
For the magnetization, the calculation gives 0.0 μB per formula unit. For the uncorrected formation energy, the calculation gives 0.776 eV per formula unit. The final energy is -3.935 eV/atom. Its calculated volume is 16.9 A^3/atom.

***

[10]
VASP calculation (PBE-GGA) on a relaxed structure of InH2Br.

The structure in extended XYZ format:
```
4
Lattice="0.000 3.117 3.117 3.117 0.000 3.117 3.117 3.117 0.000" Properties=species:S:1:pos:R:3 pbc="T T T"
Br 0.000 0.000 0.000
H 4.675 4.675 4.675
H 1.558 1.558 1.558
In 3.117 3.117 3.117
```

Results
For the magnetization, the calculation gives 0.0 μB per formula unit. The final energy is -2.040 eV/atom. Its calculated volume is 15.1 A^3/atom.

***

[11]
VASP calculation (PBE-GGA) on a relaxed structure of Y3Cr5Se12.

The structure in extended XYZ format:
```
80
Lattice="13.579 0.000 0.000 -4.526 12.802 0.000 -4.526 -6.401 11.087" Properties=species:S:1:pos:R:3 pbc="T T T"
Se -1.201 -3.426 7.858
Se -5.147 -0.020 9.127
Se 6.915 3.572 4.191
Cr 6.789 0.000 0.000
Cr -1.132 10.402 1.386
Cr 5.658 -4.001 9.701
Se 2.389 -2.215 6.541
Cr -4.526 3.201 5.543
Y 7.921 4.001 1.386
Se 9.178 -2.830 6.896
Se 2.138 8.616 4.546
Se 6.168 6.381 1.960
Se -0.621 4.714 0.998
Cr -1.132 0.800 6.929
Se 7.356 -0.926 2.315
Y 10.184 0.000 2.772
Se 1.201 1.083 6.506
Y 5.658 0.800 4.158
Se 4.401 2.215 6.541
Se 5.727 9.827 3.229
Y -1.132 5.601 6.929
Se 2.884 8.088 0.998
Se 8.486 0.733 5.189
Se 5.093 5.475 8.772
Se -5.589 3.426 7.858
Se -4.401 5.044 10.732
Cr 0.000 0.000 0.000
Se 3.960 -1.659 3.584
Cr 4.526 6.401 0.000
Y -3.395 -2.400 9.701
Se 10.115 2.975 3.229
Se 6.223 7.134 5.898
Cr 5.658 3.201 8.315
Se -2.830 7.327 8.772
Se -0.567 0.926 2.315
Se 9.674 6.422 1.960
Y 7.921 8.801 1.386
Se -1.696 -0.733 5.189
Y 3.395 7.201 6.929
Se 1.642 -1.687 10.089
Se 1.696 4.742 7.503
Se 5.589 -1.083 6.506
Se 0.567 8.060 7.503
Y -5.658 6.401 8.315
Se -3.464 10.910 1.352
Cr 3.395 9.602 2.772
Y 1.132 -0.800 4.158
Se -1.062 7.484 4.581
Se 5.727 1.892 1.352
Se 5.147 1.687 10.089
Y 1.132 6.401 2.772
Se 8.927 1.357 0.355
Se 2.830 1.659 3.584
Se -3.960 5.668 5.898
Cr 2.263 3.201 5.543
Se 0.125 4.186 4.546
Cr 3.395 2.400 1.386
Y -3.395 2.400 9.701
Se 5.147 -1.707 10.125
Se 7.990 -4.509 9.734
Se 6.915 11.445 0.355
Cr 5.658 5.601 4.158
Se -2.389 2.830 6.896
Y 3.395 0.000 8.315
Cr -2.263 -3.201 5.543
Se 3.325 5.318 4.581
Cr -2.263 6.401 0.000
Se -0.621 8.108 0.962
Cr -1.132 3.201 2.772
Cr -3.395 7.201 4.158
Se -2.389 -5.044 10.732
Se -4.652 9.231 4.191
Cr 7.921 -0.800 6.929
Se 1.642 1.707 10.125
Cr 1.132 4.001 9.701
Se 2.884 4.694 0.962
Cr 4.526 -3.201 5.543
Se -1.201 4.509 9.734
Se -1.642 0.020 9.127
Cr 1.132 -3.201 8.315
```

Results
For the magnetization, the calculation gives 15.0 μB per formula unit. For the uncorrected formation energy, the calculation gives -17.515 eV per formula unit. The final energy is -6.342 eV/atom. Its calculated volume is 24.1 A^3/atom.

***

[12]
VASP calculation (PBE-GGA) on a relaxed structure of Pm2Pr4Sm.

The structure in extended XYZ format:
```
7
Lattice="3.687 0.000 0.000 1.844 3.193 0.000 1.844 1.064 20.997" Properties=species:S:1:pos:R:3 pbc="T T T"
Pm 3.687 2.129 5.983
Pr 5.531 3.193 8.976
Pr 5.531 3.193 18.014
Pm 3.687 2.129 15.014
Pr 1.844 1.064 2.983
Sm 0.000 0.000 0.000
Pr 1.844 1.064 12.021
```

Results
For the magnetization, the calculation gives 0.0 μB per formula unit. The final energy is -4.755 eV/atom. For the formation energy, the calculation gives 8 meV per atom. Its calculated volume is 35.3 A^3/atom.

***

[13]
VASP calculation (PBE-GGA) on a relaxed structure of MgTaNi.

The structure in extended XYZ format:
```
3
Lattice="4.422 0.000 0.000 -2.211 3.830 0.000 0.000 0.000 2.783" Properties=species:S:1:pos:R:3 pbc="T T T"
Ta 2.211 1.277 1.688
Mg 0.000 0.000 0.171
Ni 0.000 2.553 0.924
```

Results
For the magnetization, the calculation gives 0.0 μB per formula unit. The final energy is -6.244 eV/atom. For the formation energy, the calculation gives 166 meV per atom. Its calculated volume is 15.7 A^3/atom.

***

[14]
VASP calculation (PBE-GGA) on a relaxed structure of InBi.

The structure in extended XYZ format:
```
8
Lattice="8.367 0.000 0.000 0.000 8.367 0.000 0.000 0.000 4.846" Properties=species:S:1:pos:R:3 pbc="T T T"
Bi 5.682 5.682 0.000
In 2.695 5.672 0.000
In 1.489 1.489 2.423
Bi 6.868 1.499 2.423
In 5.672 2.695 0.000
Bi 2.684 2.684 0.000
Bi 1.499 6.868 2.423
In 6.878 6.878 2.423
```

Results
For the magnetization, the calculation gives 0.0 μB per formula unit. The final energy is -3.242 eV/atom. For the formation energy, the calculation gives 68 meV per atom. Its calculated volume is 42.4 A^3/atom.

***

[15]
VASP calculation (PBE-GGA) on a relaxed structure of Ba2HIrPd.

The structure in extended XYZ format:
```
5
Lattice="-5.664 -0.169 -0.708 -0.026 -5.505 1.520 -0.460 0.955 3.450" Properties=species:S:1:pos:R:3 pbc="T T T"
Ba -0.013 -2.752 0.760
Pd -3.075 -2.359 2.131
Ir -0.230 0.477 1.725
H 0.000 0.000 0.000
Ba -2.832 -0.084 -0.354
```

Results
For the magnetization, the calculation gives 0.0 μB per formula unit. The final energy is -4.494 eV/atom. Its calculated volume is 23.5 A^3/atom.

***

[16]
VASP calculation (PBE-GGA) on a relaxed structure of Er2CuPd8.

The structure in extended XYZ format:
```
11
Lattice="4.327 0.000 0.000 0.000 6.192 0.282 -2.163 -2.308 6.866" Properties=species:S:1:pos:R:3 pbc="T T T"
Pd 0.000 1.661 5.745
Pd 2.163 2.223 1.403
Pd 0.000 4.432 0.589
Pd 0.000 -0.949 4.721
Pd 2.163 3.460 5.010
Pd 2.163 4.833 2.427
Pd 0.000 0.424 2.138
Er 0.000 3.180 3.068
Cu 2.163 0.000 0.000
Pd 2.163 -0.548 6.559
Er 2.163 0.705 4.080
```

Results
For the magnetization, the calculation gives 0.0 μB per formula unit. The final energy is -5.517 eV/atom. For the formation energy, the calculation gives -539 meV per atom. Its calculated volume is 17.0 A^3/atom.

***

[17]
VASP calculation (PBE-GGA) on a relaxed structure of Zn3Si5Au12.

The structure in extended XYZ format:
```
80
Lattice="-4.153 -1.843 12.022 12.840 0.565 -0.057 -4.794 11.024 -4.546" Properties=species:S:1:pos:R:3 pbc="T T T"
Au -2.752 5.407 5.346
Au 0.118 8.879 -0.468
Au 6.893 2.039 8.676
Si 9.597 1.412 2.387
Au 3.450 0.562 3.988
Au -0.437 8.895 6.213
Au -1.566 -0.667 8.438
Au 0.443 9.185 3.431
Au 8.127 -0.419 9.692
Au 0.727 2.384 0.070
Zn -1.504 9.557 -2.490
Au -4.235 10.166 -2.273
Si -2.397 5.512 -2.273
Si 0.000 0.000 0.000
Au 3.165 7.363 7.348
Au 2.683 0.448 10.576
Zn -3.228 1.214 9.376
Au -5.800 5.335 8.052
Au 6.542 6.847 3.856
Si 7.440 2.099 6.327
Si -3.548 7.648 1.092
Zn 5.269 2.418 3.336
Si 3.112 3.105 7.276
Au 0.274 3.050 3.399
Si -3.421 5.419 7.664
Au 3.153 6.868 -0.226
Au 1.209 9.299 -3.157
Au 3.774 0.867 7.886
Zn -1.184 3.124 5.795
Au -2.778 5.696 2.282
Au 6.897 8.425 0.838
Si -2.077 -0.922 6.011
Au 9.692 4.412 -0.634
Au 3.750 3.801 5.056
Si -4.474 4.591 3.738
Au 10.715 1.824 0.290
Si -5.705 8.335 5.032
Au 4.426 8.227 -2.678
Au -0.071 0.560 6.043
Au -3.001 7.708 -1.257
Zn 1.101 0.208 8.427
Au 7.231 0.970 2.227
Au 5.458 10.414 -1.020
Zn 5.076 6.623 1.624
Si 6.420 0.283 -0.029
Au 6.079 6.268 -0.973
Au 4.330 0.851 1.206
Au 6.671 4.051 5.137
Au -3.005 1.322 6.581
Si 4.343 -0.639 5.983
Au -6.823 7.923 7.129
Au -2.186 3.478 8.392
Zn 2.792 9.539 -1.008
Zn 7.120 8.533 -1.957
Zn 5.396 0.189 9.908
Au -2.650 2.900 3.563
Si 7.313 4.328 -0.245
Au 0.180 5.394 5.391
Au -2.471 9.328 2.446
Zn -1.231 3.744 1.294
Zn 5.123 6.003 6.125
Au 3.618 6.697 4.020
Au -3.339 8.777 5.192
Au 4.185 4.874 8.517
Si 0.795 7.009 7.074
Au 0.142 5.945 2.362
Si 0.780 6.641 0.143
Au -0.293 4.873 -1.098
Si 2.839 8.918 3.493
Si 1.946 4.873 3.709
Si 1.053 0.828 3.926
Si 3.097 2.738 0.345
Au -0.533 1.520 10.097
Au 3.712 4.352 2.028
Au 0.739 2.878 7.645
Zn -1.377 7.328 4.083
Au 3.963 9.187 1.376
Si 4.023 5.795 -2.302
Au 6.644 4.340 2.073
Au 6.363 0.419 4.973
```

Results
For the magnetization, the calculation gives 0.0 μB per formula unit. For the uncorrected formation energy, the calculation gives 0.759 eV per formula unit. The final energy is -3.475 eV/atom. Its calculated volume is 20.4 A^3/atom.

***

[18]
VASP calculation (PBE-GGA) on a relaxed structure of K3SbF6.

The structure in extended XYZ format:
```
20
Lattice="6.425 0.000 0.072 0.000 6.680 0.000 0.028 0.000 9.169" Properties=species:S:1:pos:R:3 pbc="T T T"
K 3.108 0.351 2.266
F 1.795 5.483 0.487
K 0.119 3.691 2.354
F 2.116 5.138 3.915
F 5.343 4.882 8.536
K 6.334 2.989 6.887
F 0.784 0.419 7.121
F 5.669 6.261 2.119
F 5.022 4.537 5.107
F 1.110 1.798 0.705
F 4.657 1.197 8.754
K 3.345 6.330 6.975
K 0.014 0.000 4.584
K 3.212 3.340 0.036
F 1.431 2.143 4.134
F 4.337 1.542 5.326
F 3.983 2.921 2.573
F 2.470 3.759 6.668
Sb 3.226 3.340 4.620
Sb 0.000 0.000 0.000
```

Results
For the magnetization, the calculation gives 0.0 μB per formula unit. For the uncorrected formation energy, the calculation gives -26.534 eV per formula unit. The final energy is -4.518 eV/atom. Its calculated volume is 19.7 A^3/atom.

***

Number 1: N(E_F) 0.83 states/eV/atom. Number 2: N(E_F) 0.19 states/eV/atom. Number 3: N(E_F) 0.78 states/eV/atom. Number 4: N(E_F) 0.88 states/eV/atom. Number 5: N(E_F) 0.77 states/eV/atom. Number 6: N(E_F) 1.27 states/eV/atom. Number 7: N(E_F) 0.51 states/eV/atom. Number 8: N(E_F) 1.07 states/eV/atom. Number 9: N(E_F) 0.12 states/eV/atom. Number 10: N(E_F) 0.29 states/eV/atom. Number 11: N(E_F) 0.50 states/eV/atom. Number 12: N(E_F) 1.36 states/eV/atom. Number 13: N(E_F) 0.57 states/eV/atom. Number 14: N(E_F) 0.10 states/eV/atom. Number 15: N(E_F) 0.17 states/eV/atom. Number 16: N(E_F) 0.27 states/eV/atom. Number 17: N(E_F) 0.16 states/eV/atom. Number 18: N(E_F) 0.00 states/eV/atom.